(1)
Entry from the Alexandria database: BaHo2CoO5 after structural relaxation (PBEsol).

Lattice parameters (Å, degrees): 12.117 5.652 6.959 90.00 90.00 90.00
Fractional positions:
Ba (0.100, 0.250, 0.080)
Ba (0.400, 0.750, 0.580)
Ba (0.600, 0.250, 0.420)
Ba (0.900, 0.750, 0.920)
Ho (0.075, 0.750, 0.404)
Ho (0.208, 0.250, 0.620)
Ho (0.292, 0.750, 0.120)
Ho (0.425, 0.250, 0.904)
Ho (0.575, 0.750, 0.096)
Ho (0.708, 0.250, 0.880)
Ho (0.792, 0.750, 0.380)
Ho (0.925, 0.250, 0.596)
Co (0.152, 0.750, 0.810)
Co (0.348, 0.250, 0.310)
Co (0.652, 0.750, 0.690)
Co (0.848, 0.250, 0.190)
O (0.064, 0.505, 0.670)
O (0.064, 0.995, 0.670)
O (0.104, 0.750, 0.076)
O (0.225, 0.001, 0.363)
O (0.225, 0.499, 0.363)
O (0.275, 0.501, 0.863)
O (0.275, 0.999, 0.863)
O (0.396, 0.250, 0.576)
O (0.436, 0.005, 0.170)
O (0.436, 0.495, 0.170)
O (0.564, 0.505, 0.830)
O (0.564, 0.995, 0.830)
O (0.604, 0.750, 0.424)
O (0.725, 0.001, 0.137)
O (0.725, 0.499, 0.137)
O (0.775, 0.501, 0.637)
O (0.775, 0.999, 0.637)
O (0.896, 0.250, 0.924)
O (0.936, 0.005, 0.330)
O (0.936, 0.495, 0.330)

The uncorrected formation energy is -2.7727 eV per atom.



(2)
Entry from the Alexandria database: Ba3CoI after structural relaxation (PBEsol).

Lattice parameters (Å, degrees): 5.732 5.732 5.732 90.00 90.00 90.00
Fractional positions:
Ba (0.000, 0.000, 0.500)
Ba (0.000, 0.500, 0.000)
Ba (0.500, 0.000, 0.000)
Co (0.000, 0.000, 0.000)
I (0.500, 0.500, 0.500)

The uncorrected formation energy is -0.1728 eV per atom.



(3)
Entry from the Alexandria database: BaCoI2N after structural relaxation (PBEsol).

Lattice parameters (Å, degrees): 6.572 6.572 4.656 90.00 90.00 90.00
Fractional positions:
Ba (0.000, 0.000, 0.000)
Co (0.500, 0.500, 0.500)
I (0.000, 0.500, 0.000)
I (0.500, 0.000, 0.000)
N (0.000, 0.000, 0.500)

The uncorrected formation energy is 1.1173 eV per atom.



(4)
Entry from the Alexandria database: BaCoTe2I after structural relaxation (PBEsol).

Lattice parameters (Å, degrees): 6.494 6.494 6.436 90.00 90.00 90.00
Fractional positions:
Ba (0.000, 0.000, 0.000)
Co (0.500, 0.500, 0.500)
Te (0.000, 0.500, 0.000)
Te (0.500, 0.000, 0.000)
I (0.000, 0.000, 0.500)

The uncorrected formation energy is 0.9428 eV per atom.



(5)
Entry from the Alexandria database: BaCo2Ir after structural relaxation (PBEsol).

Lattice parameters (Å, degrees): 3.048 3.048 7.469 90.00 90.00 90.00
Fractional positions:
Ba (0.000, 0.000, 0.000)
Co (0.000, 0.000, 0.481)
Co (0.500, 0.500, 0.340)
Ir (0.500, 0.500, 0.671)

The formation energy is 0.5506 eV/atom.



(6)
Entry from the Alexandria database: BaCoIr2 after structural relaxation (PBEsol).

Lattice parameters (Å, degrees): 3.958 3.958 4.539 90.00 90.00 90.00
Fractional positions:
Ba (0.000, 0.000, 0.000)
Co (0.500, 0.500, 0.000)
Ir (0.000, 0.500, 0.500)
Ir (0.500, 0.000, 0.500)

The formation energy is 1.0135 eV/atom.



(7)
Entry from the Alexandria database: BaCo4Ir after structural relaxation (PBEsol).

Lattice parameters (Å, degrees): 4.994 4.994 4.994 60.00 60.00 60.00
Fractional positions:
Ba (0.000, 0.000, 0.000)
Co (0.131, 0.623, 0.623)
Co (0.623, 0.131, 0.623)
Co (0.623, 0.623, 0.131)
Co (0.623, 0.623, 0.623)
Ir (0.250, 0.250, 0.250)

The formation energy is 0.6630 eV/atom.



(8)
Entry from the Alexandria database: BaCo2Ir after structural relaxation (PBEsol).

Lattice parameters (Å, degrees): 4.684 4.684 2.998 90.00 90.00 93.74
Fractional positions:
Ba (0.000, 0.000, 0.000)
Co (0.000, 0.500, 0.500)
Co (0.500, 0.000, 0.500)
Ir (0.500, 0.500, 0.000)

The formation energy is 0.9387 eV/atom.



(9)
Entry from the Alexandria database: BaCoIr2 after structural relaxation (PBEsol).

Lattice parameters (Å, degrees): 5.250 5.250 2.890 90.00 90.00 116.23
Fractional positions:
Ba (0.000, 0.000, 0.000)
Co (0.500, 0.500, 0.000)
Ir (0.000, 0.500, 0.500)
Ir (0.500, 0.000, 0.500)

The formation energy is 1.0280 eV/atom.



(10)
Entry from the Alexandria database: BaCo2Ir after structural relaxation (PBEsol).

Lattice parameters (Å, degrees): 4.906 4.906 4.906 130.02 130.02 73.37
Fractional positions:
Ba (0.000, 0.000, 0.000)
Co (0.500, 0.500, 0.000)
Co (0.750, 0.250, 0.500)
Ir (0.250, 0.750, 0.500)

The formation energy is 1.0592 eV/atom.



(11)
Entry from the Alexandria database: BaCoIr after structural relaxation (PBEsol).

Lattice parameters (Å, degrees): 4.537 4.537 4.537 60.00 60.00 60.00
Fractional positions:
Ba (0.000, 0.000, 0.000)
Co (0.750, 0.750, 0.750)
Ir (0.500, 0.500, 0.500)

The formation energy is 0.9375 eV/atom.



(12)
Entry from the Alexandria database: BaCoIr2 after structural relaxation (PBEsol).

Lattice parameters (Å, degrees): 5.059 5.059 5.059 131.63 131.63 70.81
Fractional positions:
Ba (0.000, 0.000, 0.000)
Co (0.500, 0.500, 0.000)
Ir (0.250, 0.750, 0.500)
Ir (0.750, 0.250, 0.500)

The formation energy is 1.0205 eV/atom.